DFT (GGA-PBE) results for a relaxed NpZn7 crystal.

```
NpZn7
1.0
-0.101 2.619 0.790
1.062 -0.666 7.012
6.936 1.468 0.688
Np Zn
1 7
Direct
0.000 0.000 0.000
0.754 0.745 0.745
0.246 0.255 0.255
0.000 0.500 0.500
0.631 0.598 0.138
0.369 0.402 0.862
0.369 0.862 0.402
0.631 0.138 0.598
```

Properties
N(E_F): 0.75 states/eV per atom
E_form: 1 kJ/mol of atoms
Calculated volume: 16.43 Å³ per atom